VASP calculation (PBE) on a geometry-optimized LiY2ErHg4 structure.

```
LiY2ErHg4
1.0
-2.472 4.484 -0.482
-4.085 0.363 -3.103
-7.279 -0.499 5.264
Li Y Er Hg
1 2 1 4
direct
0.500 0.500 0.500
0.754 0.754 0.737
0.246 0.246 0.263
0.000 0.000 0.000
0.376 0.376 0.873
0.875 0.875 0.376
0.125 0.125 0.624
0.624 0.624 0.127
```

VASP calculation (PBE) on a geometry-optimized LiErZnHg structure.

```
LiErZnHg
1.0
-4.598 0.910 1.336
-1.494 -1.107 4.505
-0.951 3.555 3.195
Zn Li Hg Er
1 1 1 1
direct
0.000 0.000 0.000
0.250 0.250 0.250
0.500 0.500 0.500
0.750 0.750 0.750
```

VASP calculation (PBE) on a geometry-optimized Li2ErZnHg4 structure.

```
Li2ErZnHg4
1.0
4.669 0.000 0.000
2.335 4.044 0.000
2.335 1.348 8.772
Li Er Zn Hg
2 1 1 4
direct
0.763 0.763 0.711
0.237 0.237 0.289
0.000 0.000 0.000
0.500 0.500 0.500
0.388 0.388 0.836
0.877 0.877 0.370
0.123 0.123 0.630
0.612 0.612 0.164
```

Er2LuHg, relaxed, DFT PBE; E above lowest polymorph = 0.066 eV per atom
1.0
4.769 0.000 0.000
0.000 4.736 0.000
0.000 0.000 4.736
Lu Hg Er
1 1 2
direct
0.500 0.500 0.500
0.500 0.000 0.000
0.000 0.000 0.500
0.000 0.500 0.000

ErLu2Hg, relaxed, DFT PBE; E above lowest polymorph = 0.000 eV per atom
1.0
-1.315 0.694 -3.195
2.821 -1.500 -1.487
-4.134 -7.786 0.009
Lu Hg Er
2 1 1
direct
0.000 0.000 0.776
0.000 0.000 0.224
0.500 0.500 0.000
0.500 0.500 0.500

VASP calculation (PBE) on a geometry-optimized ErLuHg2 structure.

```
ErLuHg2
1.0
5.190 0.000 0.000
2.595 4.495 0.000
2.595 1.498 4.238
Lu Hg Er
1 2 1
direct
0.000 0.000 0.000
0.250 0.250 0.250
0.750 0.750 0.750
0.500 0.500 0.500
```

Er2LuHg, relaxed, DFT PBE; E above lowest polymorph = 0.000 eV per atom
1.0
-1.239 1.822 2.780
-3.324 -0.664 -1.046
-0.043 -7.399 4.831
Lu Hg Er
1 1 2
direct
0.500 0.500 0.500
0.500 0.500 0.000
0.000 0.000 0.773
0.000 0.000 0.227

Er2LuHg, relaxed, DFT PBE; E above lowest polymorph = 0.169 eV per atom
1.0
-5.174 1.310 -0.169
-3.528 -3.338 -2.220
-3.514 -2.598 3.069
Lu Hg Er
1 1 2
direct
0.000 0.000 0.000
0.500 0.500 0.500
0.250 0.250 0.250
0.750 0.750 0.750

no.,energy (eV/atom),energy of formation (eV/atom)
1,-3.05,-0.470
2,-2.34,-0.332
3,-1.65,-0.291
4,-3.64,-0.153
5,-3.70,-0.227
6,-2.89,-0.472
7,-3.71,-0.219
8,-3.54,-0.049